[1]
# Co3HBr PBE optimized geometry
# - Polymorph energy (0 for the lowest one): 0.0 meV/atom
# - Magnetization: 4.75 μB/f.u.
# - Fermi-level density of states: 9.66 states/eV/cell
data_Co3HBr
_symmetry_space_group_name_H-M 'P 1'
_symmetry_Int_Tables_number 1
_symmetry_space_group_name_Hall 'P 1'
_cell_length_a 3.791
_cell_length_b 3.791
_cell_length_c 3.791
_cell_angle_alpha 90.00
_cell_angle_beta 90.00
_cell_angle_gamma 90.00
loop_
_atom_site_label
_atom_site_fract_x
_atom_site_fract_y
_atom_site_fract_z
Co1 0.000 0.000 0.500
Co2 0.000 0.500 0.000
Co3 0.500 0.000 0.000
H1 0.000 0.000 0.000
Br1 0.500 0.500 0.500

---

[2]
# CoHBr3 PBE optimized geometry
# - Polymorph energy (0 for the lowest one): 0.0 meV/atom
# - Magnetization: 3.62 μB/f.u.
# - Fermi-level density of states: 8.11 states/eV/cell
data_CoHBr3
_symmetry_space_group_name_H-M 'P 1'
_symmetry_Int_Tables_number 1
_symmetry_space_group_name_Hall 'P 1'
_cell_length_a 4.977
_cell_length_b 4.977
_cell_length_c 4.977
_cell_angle_alpha 90.00
_cell_angle_beta 90.00
_cell_angle_gamma 90.00
loop_
_atom_site_label
_atom_site_fract_x
_atom_site_fract_y
_atom_site_fract_z
Co1 0.000 0.000 0.000
H1 0.500 0.500 0.500
Br1 0.000 0.000 0.500
Br2 0.000 0.500 0.000
Br3 0.500 0.000 0.000

---

[3]
# Co3HBr PBE optimized geometry
# - Polymorph energy (0 for the lowest one): 1046.0 meV/atom
# - Magnetization: 5.00 μB/f.u.
# - Fermi-level density of states: 10.02 states/eV/cell
data_Co3HBr
_symmetry_space_group_name_H-M 'P 1'
_symmetry_Int_Tables_number 1
_symmetry_space_group_name_Hall 'P 1'
_cell_length_a 4.402
_cell_length_b 4.402
_cell_length_c 4.402
_cell_angle_alpha 90.00
_cell_angle_beta 90.00
_cell_angle_gamma 90.00
loop_
_atom_site_label
_atom_site_fract_x
_atom_site_fract_y
_atom_site_fract_z
Co1 0.000 0.000 0.500
Co2 0.000 0.500 0.000
Co3 0.500 0.000 0.000
H1 0.500 0.500 0.500
Br1 0.000 0.000 0.000

---

[4]
# Co2HBr PBE optimized geometry
# - Polymorph energy (0 for the lowest one): 601.2 meV/atom
# - Magnetization: 2.95 μB/f.u.
# - Fermi-level density of states: 14.05 states/eV/cell
data_Co2HBr
_symmetry_space_group_name_H-M 'P 1'
_symmetry_Int_Tables_number 1
_symmetry_space_group_name_Hall 'P 1'
_cell_length_a 5.692
_cell_length_b 5.692
_cell_length_c 5.692
_cell_angle_alpha 90.00
_cell_angle_beta 90.00
_cell_angle_gamma 90.00
loop_
_atom_site_label
_atom_site_fract_x
_atom_site_fract_y
_atom_site_fract_z
Co1 0.250 0.250 0.250
Co2 0.250 0.250 0.750
Co3 0.250 0.750 0.250
Co4 0.250 0.750 0.750
Co5 0.750 0.250 0.250
Co6 0.750 0.250 0.750
Co7 0.750 0.750 0.250
Co8 0.750 0.750 0.750
H1 0.000 0.000 0.000
H2 0.000 0.500 0.500
H3 0.500 0.000 0.500
H4 0.500 0.500 0.000
Br1 0.000 0.000 0.500
Br2 0.000 0.500 0.000
Br3 0.500 0.000 0.000
Br4 0.500 0.500 0.500

---

[5]
# CoH2Br2 PBE optimized geometry
# - Magnetization: 3.01 μB/f.u.
# - Fermi-level density of states: 8.44 states/eV/cell
data_CoH2Br2
_symmetry_space_group_name_H-M 'P 1'
_symmetry_Int_Tables_number 1
_symmetry_space_group_name_Hall 'P 1'
_cell_length_a 6.412
_cell_length_b 3.712
_cell_length_c 8.893
_cell_angle_alpha 90.00
_cell_angle_beta 92.73
_cell_angle_gamma 90.00
loop_
_atom_site_label
_atom_site_fract_x
_atom_site_fract_y
_atom_site_fract_z
Co1 0.000 0.000 0.000
Co2 0.500 0.500 0.000
H1 0.040 0.000 0.532
H2 0.460 0.500 0.468
H3 0.540 0.500 0.532
H4 0.960 0.000 0.468
Br1 0.177 0.500 0.162
Br2 0.323 0.000 0.838
Br3 0.677 0.000 0.162
Br4 0.823 0.500 0.838

---

[6]
# CoHg2HBr PBE optimized geometry
# - Magnetization: 2.42 μB/f.u.
# - Fermi-level density of states: 3.43 states/eV/cell
data_CoHg2HBr
_symmetry_space_group_name_H-M 'P 1'
_symmetry_Int_Tables_number 1
_symmetry_space_group_name_Hall 'P 1'
_cell_length_a 5.256
_cell_length_b 5.256
_cell_length_c 4.723
_cell_angle_alpha 90.00
_cell_angle_beta 90.00
_cell_angle_gamma 90.00
loop_
_atom_site_label
_atom_site_fract_x
_atom_site_fract_y
_atom_site_fract_z
Co1 0.000 0.000 0.000
Hg1 0.000 0.500 0.000
Hg2 0.500 0.000 0.000
H1 0.500 0.500 0.500
Br1 0.000 0.000 0.500

---

| no. | E (eV per atom) |
| --- | --- |
| 1 | -4.6607 |
| 2 | -2.6254 |
| 3 | -3.6147 |
| 4 | -3.8554 |
| 5 | -3.5999 |
| 6 | -1.9926 |